# 1
This record from Alexandria describes a geometry-optimized LaNd2NpP4 structure. The functional is GGA-PBE.

Lattice parameters (Å, degrees): 4.132 7.179 7.168 109.31 90.00 90.00
Last column: magnetic moment on the atom in μB.
Positions (direct):
La1 0.500 0.500 0.000  0.02
Nd1 0.500 0.000 0.500  0.02
Nd2 0.000 0.500 0.500  0.04
Np1 0.000 0.000 0.000  3.56
P1 0.500 0.237 0.240  -0.07
P2 0.500 0.763 0.760  -0.07
P3 0.000 0.240 0.754  -0.04
P4 0.000 0.760 0.246  -0.04

Properties
- Total moment: 3.66 μB per cell
- Energy of formation: -31.19 kcal/mol of atoms
- Uncorrected energy: -59.864 eV/f.u.
- N(E_F): 1.490 states/eV/atom


# 2
This record from Alexandria describes a geometry-optimized RbY2GaMo structure. The functional is GGA-PBE.

Lattice parameters (Å, degrees): 5.558 6.226 5.558 90.00 90.00 90.00
Last column: magnetic moment on the atom in μB.
Positions (direct):
Y1 0.000 0.000 0.500  0.11
Y2 0.500 0.000 0.000  0.10
Mo1 0.500 0.500 0.500  3.72
Ga1 0.000 0.000 0.000  0.04
Rb1 0.000 0.500 0.000  0.01

Properties
- Total moment: 5.51 μB per cell
- Energy of formation: 26.80 kcal/mol of atoms
- Uncorrected energy: -21.944 eV/f.u.
- N(E_F): 1.263 states/eV/atom


# 3
This record from Alexandria describes a geometry-optimized RbGa3 structure. The functional is GGA-PBE.

Lattice parameters (Å, degrees): 8.829 8.829 8.829 137.50 137.50 61.67
Positions (direct):
Rb1 0.000 0.000 0.000
Rb2 0.372 0.872 0.500
Rb3 0.128 0.628 0.500
Ga1 0.500 0.500 0.000
Ga2 0.431 0.223 0.208
Ga3 0.777 0.985 0.208
Ga4 0.777 0.569 0.792
Ga5 0.015 0.223 0.792
Ga6 0.698 0.392 0.306
Ga7 0.608 0.914 0.306
Ga8 0.608 0.302 0.694
Ga9 0.086 0.392 0.694

Properties
- Total moment: 0.00 μB per cell
- Energy of formation: -3.75 kcal/mol of atoms
- Uncorrected energy: -10.699 eV/f.u.
- N(E_F): 0.008 states/eV/atom


# 4
This record from Alexandria describes a geometry-optimized YBe2H2 structure. The functional is GGA-PBE.

Lattice parameters (Å, degrees): 3.762 3.762 4.547 65.56 65.56 90.00
Positions (direct):
Y1 0.000 0.000 0.000
Be1 0.363 0.363 0.275
Be2 0.637 0.637 0.725
H1 0.750 0.250 0.500
H2 0.250 0.750 0.500

Properties
- Total moment: 0.00 μB per cell
- Polymorph energy (0 for the lowest one): 0 meV per atom
- Uncorrected energy: -18.846 eV/f.u.
- N(E_F): 0.512 states/eV/atom


# 5
This record from Alexandria describes a geometry-optimized Al4Fe5 structure. The functional is GGA-PBE.

Lattice parameters (Å, degrees): 6.023 6.023 6.023 94.76 94.76 146.51
Last column: magnetic moment on the atom in μB.
Positions (direct):
Al1 0.314 0.000 0.314  -0.04
Al2 0.686 0.000 0.686  -0.04
Al3 0.000 0.314 0.314  -0.04
Al4 0.000 0.686 0.686  -0.04
Fe1 0.000 0.000 0.000  2.27
Fe2 0.333 0.333 0.665  2.14
Fe3 0.667 0.667 0.335  2.14
Fe4 0.667 0.333 0.000  2.14
Fe5 0.333 0.667 0.000  2.14

Properties
- Total moment: 10.55 μB per cell
- Energy of formation: -4.34 kcal/mol of atoms
- Polymorph energy (0 for the lowest one): 0 meV per atom
- Uncorrected energy: -58.976 eV/f.u.
- N(E_F): 0.727 states/eV/atom


# 6
This record from Alexandria describes a geometry-optimized PmEuRu structure. The functional is GGA-PBE.

Lattice parameters (Å, degrees): 3.518 3.518 7.097 104.35 104.35 90.00
Last column: magnetic moment on the atom in μB.
Positions (direct):
Eu1 0.036 0.036 0.072  6.84
Ru1 0.674 0.674 0.347  -0.18
Pm1 0.290 0.290 0.580  0.05

Properties
- Total moment: 7.07 μB per cell
- Energy of formation: -1.41 kcal/mol of atoms
- Polymorph energy (0 for the lowest one): 0 meV per atom
- Uncorrected energy: -24.485 eV/f.u.
- N(E_F): 2.835 states/eV/atom